Density functional theory data (GGA-PBE) for crystalline Rb2TcRhF6 at its relaxed geometry.

Lattice parameters (Å, degrees): 6.2192 6.2192 8.8403 90.00 90.00 90.00
Space group I4/mmm (No. 139)
Symmetry-distinct sites (fractional):
Rb1 0.0000 0.5000 0.2500 (multiplicity 4)
Tc1 0.0000 0.0000 0.0000 (multiplicity 2)
Rh1 0.0000 0.0000 0.5000 (multiplicity 2)
F1 0.0000 0.0000 0.2360 (multiplicity 4)
F2 0.2331 0.2331 0.0000 (multiplicity 8)


Density functional theory data (GGA-PBE) for crystalline LiInHg2 at its relaxed geometry.

Computed properties:
Energy of formation ... -0.139 eV/atom

Lattice parameters (Å, degrees): 3.2759 3.2759 8.4592 90.00 90.00 90.00
Space group P4mm (No. 99)
Symmetry-distinct sites (fractional):
Li1 0.0000 0.0000 0.0000 (multiplicity 1)
In1 0.5000 0.5000 0.7562 (multiplicity 1)
Hg1 0.0000 0.0000 0.4796 (multiplicity 1)
Hg2 0.5000 0.5000 0.2017 (multiplicity 1)


Density functional theory data (GGA-PBE) for crystalline VTc2Ge at its relaxed geometry.

Computed properties:
Energy of formation ... 0.054 eV/atom

Lattice parameters (Å, degrees): 2.9357 2.9357 23.6645 90.00 90.00 120.00
Space group R3m (No. 160, hexagonal axes)
Symmetry-distinct sites (fractional):
V1 0.0000 0.0000 0.0000 (multiplicity 3)
Tc1 0.0000 0.0000 0.5854 (multiplicity 3)
Tc2 0.0000 0.0000 0.7472 (multiplicity 3)
Ge1 0.0000 0.0000 0.1669 (multiplicity 3)


Density functional theory data (GGA-PBE) for crystalline PrZn6Pt2 at its relaxed geometry.

Computed properties:
Energy of formation ... -0.094 eV/atom

Lattice parameters (Å, degrees): 5.7855 5.7855 6.4407 90.00 90.00 120.00
Space group P6/mmm (No. 191)
Symmetry-distinct sites (fractional):
Pr1 0.0000 0.0000 0.0000 (multiplicity 1)
Zn1 0.0000 0.5000 0.2016 (multiplicity 6)
Pt1 0.3333 0.6667 0.5000 (multiplicity 2)


| no. | E_tot (eV/cell) | magnetic moment (μB/cell) |
| --- | --- | --- |
| 1 | -99.2 | 8.00 |
| 2 | -5.8 | 0.00 |
| 3 | -102.8 | 0.00 |
| 4 | -25.3 | 0.00 |